The following is a DFT calculation (GGA+U) of a relaxed CaFePbF6 crystal.

Results
Crystal system = trigonal
Space group = No. 163
Density of states at the Fermi level = 13.54 states/eV per cell
E_tot = -0.388 Ry per atom

Cell: 5.7797 5.7797 10.3289 Å, 90.00 90.00 120.00°
With the nearest neighbours (Å) after each atom.
Fractional coordinates of all 18 atoms:
Ca (0.3333, 0.6667, 0.2500)  6 F 2.28
Ca (0.6667, 0.3333, 0.7500)  6 F 2.28
Fe (0.3333, 0.6667, 0.7500)  6 F 2.11
Fe (0.6667, 0.3333, 0.2500)  6 F 2.11
Pb (0.0000, 0.0000, 0.0000)  6 F 2.51
Pb (0.0000, 0.0000, 0.5000)  6 F 2.51
F (0.0220, 0.3653, 0.6394)  1 Fe 2.11, 1 Ca 2.28
F (0.0220, 0.6567, 0.8606)  1 Fe 2.11, 1 Ca 2.28
F (0.3433, 0.3653, 0.8606)  1 Fe 2.11, 1 Ca 2.28
F (0.3433, 0.9780, 0.6394)  1 Fe 2.11, 1 Ca 2.28
F (0.3653, 0.0220, 0.1394)  1 Fe 2.11, 1 Ca 2.28
F (0.3653, 0.3433, 0.3606)  1 Fe 2.11, 1 Ca 2.28
F (0.6347, 0.6567, 0.6394)  1 Fe 2.11, 1 Ca 2.28
F (0.6347, 0.9780, 0.8606)  1 Fe 2.11, 1 Ca 2.28
F (0.6567, 0.0220, 0.3606)  1 Fe 2.11, 1 Ca 2.28
F (0.6567, 0.6347, 0.1394)  1 Fe 2.11, 1 Ca 2.28
F (0.9780, 0.3433, 0.1394)  1 Fe 2.11, 1 Ca 2.28
F (0.9780, 0.6347, 0.3606)  1 Fe 2.11, 1 Ca 2.28